Entry from Alexandria via LeMat-Bulk: CrSiOs2 after structural relaxation (PBE).

```
CrSiOs2
1.0
1.4337 -2.3603 0.0000
1.4337 2.3603 0.0000
0.0000 0.0000 8.1673
Cr Si Os
1 1 2
Direct
0.0000 0.0000 0.0000 Cr
0.0000 0.0000 0.5000 Si
0.5000 0.5000 0.2610 Os
0.5000 0.5000 0.7390 Os
```

Values from the calculation:
final energy	-36.3	eV/cell
total magnetization	1.80	Bohr magnetons per cell
V	55.28	Å³/cell
ΔE_f (raw)	0.31	eV per atom